Record 1
ScSi2Au, relaxed, DFT GGA-PBE; E_form (uncorrected) = -0.4132 eV/atom; symmetry = Pmmm
1.0
4.1168 0.0000 0.0000
0.0000 3.0468 -0.0036
0.0000 0.0111 5.4382
Sc Si Au
1 2 1
Direct
0.5000 0.7500 0.7500
0.0000 0.2492 0.9767
0.0000 0.2508 0.5233
0.5000 0.2500 0.2500

---

Record 2
Dy2HoAu4, relaxed, DFT GGA-PBE; ΔE_f = -0.732 eV/atom; symmetry = Cmmm
1.0
4.9178 0.0000 0.0000
0.0000 5.6653 -2.1063
0.0000 0.6335 6.0109
Ho Au Dy
1 4 2
Direct
0.5000 0.5000 0.5000
0.5000 0.0000 0.5000
0.0000 0.2930 0.2930
0.0000 0.7070 0.7070
0.5000 0.5000 0.0000
0.0000 0.2122 0.7878
0.0000 0.7878 0.2122

---

no.,energy (eV/atom)
1,-5.5269
2,-4.5732